# CsVPO2, optimized geometry, DFT PBE with a Hubbard U
data_CsVPO2
_symmetry_space_group_name_H-M 'P 4/m m m'
_symmetry_Int_Tables_number 123
_symmetry_space_group_name_Hall '-P 4 2'
_cell_length_a 4.0130
_cell_length_b 4.0130
_cell_length_c 5.0239
_cell_angle_alpha 90.00
_cell_angle_beta 90.00
_cell_angle_gamma 90.00
loop_
_atom_site_label
_atom_site_type_symbol
_atom_site_fract_x
_atom_site_fract_y
_atom_site_fract_z
_atom_site_occupancy
Cs1 Cs 0.0000 0.0000 0.0000 1
V1 V 0.5000 0.5000 0.5000 1
P1 P 0.5000 0.5000 0.0000 1
O1 O 0.0000 0.5000 0.5000 1
# - polymorph energy (0 for the lowest one) (eV/atom) = 0.0000
# - raw total energy (eV for the cell shown) = -26.45
# - mass density (kg/m3) = 5066
# - Fermi-level density of states (states/eV per atom) = 0.27